1.
# PmCoIr

An optimized crystal structure of PmCoIr (PBE, the Open Quantum Materials Database).

## Properties
As for the offset from the most stable computed form: 0 meV/atom. The calculation puts the total energy at -20.154 eV per cell. As for the symmetry: F-43m (216).

Lattice parameters (Å, degrees): 4.537 4.537 4.537 60.00 60.00 60.00
Fractional coordinates of all 3 atoms:
Pm 0.000 0.000 0.000
Co 0.500 0.500 0.500
Ir 0.250 0.250 0.250

---

2.
# PrCoSn2Ir

An optimized crystal structure of PrCoSn2Ir (PBE, the Open Quantum Materials Database).

## Properties
The calculation puts the total energy at -61.960 eV per cell. As for the symmetry: P4/nmm (129).

Lattice parameters (Å, degrees): 4.462 4.462 10.427 90.00 90.00 90.00
Fractional coordinates of all 10 atoms:
Pr 0.250 0.250 0.248
Pr 0.750 0.750 0.752
Co 0.250 0.250 0.622
Co 0.750 0.750 0.378
Sn 0.250 0.250 0.858
Sn 0.250 0.750 0.500
Sn 0.750 0.250 0.500
Sn 0.750 0.750 0.142
Ir 0.250 0.750 0.000
Ir 0.750 0.250 0.000

---

3.
# Co2IrPt

An optimized crystal structure of Co2IrPt (PBE, the Open Quantum Materials Database).

## Properties
The calculation puts the total energy at -27.993 eV per cell. As for the symmetry: F-43m (216).

Lattice parameters (Å, degrees): 4.215 4.215 4.215 60.00 60.00 60.00
Fractional coordinates of all 4 atoms:
Co 0.000 0.000 0.000
Co 0.250 0.250 0.250
Ir 0.750 0.750 0.750
Pt 0.500 0.500 0.500

---

4.
# CoSbIrPt

An optimized crystal structure of CoSbIrPt (PBE, the Open Quantum Materials Database).

## Properties
As for the offset from the most stable computed form: 0 meV/atom. The calculation puts the total energy at -25.564 eV per cell. As for the symmetry: F-43m (216).

Lattice parameters (Å, degrees): 4.452 4.452 4.452 60.00 60.00 60.00
Fractional coordinates of all 4 atoms:
Co 0.000 0.000 0.000
Sb 0.750 0.750 0.750
Ir 0.500 0.500 0.500
Pt 0.250 0.250 0.250

---

5.
# TlCoIrPt

An optimized crystal structure of TlCoIrPt (PBE, the Open Quantum Materials Database).

## Properties
As for the offset from the most stable computed form: 0 meV/atom. The calculation puts the total energy at -22.732 eV per cell. As for the symmetry: F-43m (216).

Lattice parameters (Å, degrees): 4.496 4.496 4.496 60.00 60.00 60.00
Fractional coordinates of all 4 atoms:
Tl 0.000 0.000 0.000
Co 0.250 0.250 0.250
Ir 0.750 0.750 0.750
Pt 0.500 0.500 0.500

---

6.
# PuCoIr

An optimized crystal structure of PuCoIr (PBE, the Open Quantum Materials Database).

## Properties
The calculation puts the total energy at -29.349 eV per cell. As for the symmetry: F-43m (216).

Lattice parameters (Å, degrees): 4.273 4.273 4.273 60.00 60.00 60.00
Fractional coordinates of all 3 atoms:
Pu 0.000 0.000 0.000
Co 0.250 0.250 0.250
Ir 0.750 0.750 0.750